one) Below is a relaxed structure of ScHgNO, with properties calculated at the PBE-GGA level.

Cell: 4.774 4.774 4.537 Å, 90.00 90.00 90.00°
Space group P4/nmm (No. 129, origin choice 2)
Unique sites:
Sc: 0.250 0.750 0.000 x2
Hg: 0.250 0.250 0.496 x2
N: 0.250 0.250 0.998 x2
O: 0.250 0.750 0.500 x2

Summary:
calculated density = 8.9 Mg/m³

two) Below is a relaxed structure of ScHgNO, with properties calculated at the PBE-GGA level.

Cell: 4.108 4.108 7.757 Å, 90.00 90.00 90.00°
Space group P4/nmm (No. 129, origin choice 2)
Unique sites:
Sc: 0.250 0.250 0.088 x2
Hg: 0.250 0.750 0.500 x2
N: 0.250 0.250 0.344 x2
O: 0.250 0.750 0.000 x2

Summary:
calculated density = 7.0 Mg/m³

three) Below is a relaxed structure of ScHgNO, with properties calculated at the PBE-GGA level.

Cell: 3.617 6.421 6.386 Å, 90.00 90.00 90.00°
Space group Pmc2_1 (No. 26)
Unique sites:
Sc: 0.000 0.126 0.000 x2
Hg: 0.500 0.489 0.680 x2
N: 0.500 0.297 0.936 x2
O: 0.000 0.105 0.305 x2

Summary:
calculated density = 6.2 Mg/m³

Which of them is most stable, and which least? Most stable: three); least stable: one).